DFT (GGA-PBE) results for YGaOs2Au after structural relaxation.

Calculated values
Its space-group type is No. 123. The formation energy comes out at 1.05 eV/atom. For the energy, the calculation gives -29.986 eV for the cell shown.

Cell lengths 4.5630, 4.5630, 5.0888 Å; angles 90.00, 90.00, 90.00 degrees
Last column: nearest neighbours and their distance in Å.
Element x y z (fractional)
Y: 0.0000 0.0000 0.0000  2 Ga 2.54
Ga: 0.0000 0.0000 0.5000  4 Os 2.28, 2 Y 2.54
Os: 0.0000 0.5000 0.5000  2 Ga 2.28
Os: 0.5000 0.0000 0.5000  2 Ga 2.28
Au: 0.5000 0.5000 0.0000  4 Y 3.23, 8 Os 3.42

***

DFT (GGA-PBE) results for GaP2Au after structural relaxation.

Calculated values
Its space-group type is No. 5. The formation energy comes out at -0.04 eV/atom. For the energy, the calculation gives -34.606 eV for the cell shown.

Cell lengths 6.0913, 6.0913, 5.5304 Å; angles 111.20, 111.20, 102.64 degrees
Last column: nearest neighbours and their distance in Å.
Element x y z (fractional)
Ga: 0.1486 0.1486 0.3382  2 P 2.51-2.54, 2 Au 2.55-2.63
Ga: 0.8514 0.8514 0.6618  2 P 2.51-2.54, 2 Au 2.55-2.63
P: 0.1779 0.5414 0.2664  2 P 2.20-2.25, 1 Au 2.43
P: 0.4586 0.8221 0.7336  2 P 2.20-2.25, 1 Au 2.43
P: 0.5489 0.2084 0.7533  2 P 2.24-2.25, 1 Au 2.47
P: 0.7916 0.4511 0.2467  2 P 2.24-2.25, 1 Au 2.47
Au: 0.2248 0.7752 0.0000  2 P 2.43, 2 Ga 2.63
Au: 0.8106 0.1894 0.5000  2 P 2.47, 2 Ga 2.55

***

DFT (GGA-PBE) results for GaP2Au after structural relaxation.

Calculated values
Its space-group type is No. 1. The formation energy comes out at -0.09 eV/atom. For the energy, the calculation gives -34.941 eV for the cell shown.

Cell lengths 5.4914, 5.9387, 6.0853 Å; angles 63.77, 88.16, 68.98 degrees
Last column: nearest neighbours and their distance in Å.
Element x y z (fractional)
Ga: 0.0000 0.0000 0.0000  2 P 2.41-2.45, 2 Au 2.52-2.55
Ga: 0.2058 0.4525 0.7354  2 P 2.52-2.55, 2 Au 2.59-2.63
P: 0.3556 0.7190 0.3421  2 P 2.18-2.26, 1 Ga 2.41
P: 0.4811 0.9814 0.4334  2 P 2.18-2.22, 2 Au 2.43-2.44
P: 0.5800 0.2544 0.0864  2 P 2.21-2.22, 1 Ga 2.45
P: 0.7034 0.5055 0.2025  2 P 2.21-2.26, 1 Au 2.45
Au: 0.0606 0.1855 0.5513  2 P 2.44-2.45, 2 Ga 2.52-2.63
Au: 0.7972 0.7988 0.7980  2 P 2.43-2.48, 2 Ga 2.55-2.59

***

DFT (GGA-PBE) results for Ga3PAu after structural relaxation.

Calculated values
For the energy above the lowest structure with this stoichiometry, the calculation gives 0 meV/atom. Its space-group type is No. 221. The formation energy comes out at 0.32 eV/atom. For the energy, the calculation gives -16.187 eV for the cell shown.

Cell lengths 4.7847, 4.7847, 4.7847 Å; angles 90.00, 90.00, 90.00 degrees
Last column: nearest neighbours and their distance in Å.
Element x y z (fractional)
Ga: 0.0000 0.0000 0.5000  2 P 2.39
Ga: 0.0000 0.5000 0.0000  2 P 2.39
Ga: 0.5000 0.0000 0.0000  2 P 2.39
P: 0.0000 0.0000 0.0000  6 Ga 2.39
Au: 0.5000 0.5000 0.5000  12 Ga 3.38

***

DFT (GGA-PBE) results for GaP2Au after structural relaxation.

Calculated values
Its space-group type is No. 1. The formation energy comes out at -0.06 eV/atom. For the energy, the calculation gives -34.761 eV for the cell shown.

Cell lengths 4.5935, 6.0670, 6.1576 Å; angles 94.98, 111.86, 95.15 degrees
Last column: nearest neighbours and their distance in Å.
Element x y z (fractional)
Ga: 0.0000 0.0000 0.0000  2 P 2.42-2.44, 2 Au 2.54-2.63
Ga: 0.3249 0.1452 0.5670  1 P 2.50, 3 Au 2.57-2.71
P: 0.2616 0.7310 0.4658  2 P 2.21
P: 0.4710 0.5220 0.0069  2 P 2.20-2.22
P: 0.4719 0.8395 0.2160  2 P 2.21-2.22, 1 Ga 2.42
P: 0.6735 0.6577 0.7661  2 P 2.20-2.21, 1 Ga 2.44
Au: 0.9286 0.3437 0.2587  2 P 2.50-2.62, 2 Ga 2.57-2.63
Au: 0.9315 0.3193 0.7513  2 P 2.47-2.52, 3 Ga 2.54-2.71

***

DFT (GGA-PBE) results for GaPAu after structural relaxation.

Calculated values
Its space-group type is No. 12. The formation energy comes out at -0.16 eV/atom. For the energy, the calculation gives -24.371 eV for the cell shown.

Cell lengths 6.3646, 6.3646, 6.3797 Å; angles 118.80, 118.80, 35.27 degrees
Last column: nearest neighbours and their distance in Å.
Element x y z (fractional)
Ga: 0.2013 0.2013 0.2247  2 P 2.36, 2 Au 2.54-2.58
Ga: 0.7987 0.7987 0.7753  2 P 2.36, 2 Au 2.54-2.58
P: 0.1689 0.1689 0.6458  2 Ga 2.36, 2 Au 2.46-2.53
P: 0.8311 0.8311 0.3542  2 Ga 2.36, 2 Au 2.46-2.53
Au: 0.0151 0.0151 0.7894  2 P 2.46-2.53, 2 Ga 2.54-2.58
Au: 0.9849 0.9849 0.2106  2 P 2.46-2.53, 2 Ga 2.54-2.58